VASP calculation (PBE-GGA) on crystalline Co2TcBi at its relaxed geometry.

Properties
The final energy is -6.1120 eV/atom. Its formation energy is 23.12 kcal/mol of atoms. As for the space-group type: I-42d (122).

a b c (Å): 6.759 6.759 6.759
angles (deg): 131.92 131.92 70.36
Fractional coordinates of all 8 atoms:
Co 0.076 0.625 0.951
Co 0.375 0.326 0.451
Co 0.674 0.125 0.049
Co 0.875 0.924 0.549
Tc 0.000 0.000 0.000
Tc 0.750 0.250 0.500
Bi 0.250 0.750 0.500
Bi 0.500 0.500 0.000